# KBa2CaNi

KBa2CaNi after structural relaxation (PBE-GGA, the Alexandria database).

abc: 6.276 6.276 5.863
angles: 90.00 90.00 90.00
Atoms (fractional coordinates):
1 Ba 0.000 0.500 0.000
2 Ba 0.500 0.000 0.000
3 Ni 0.000 0.000 0.000
4 Ca 0.000 0.000 0.500
5 K 0.500 0.500 0.500

- E_form: 37 meV/atom